[1]
A plane-wave DFT calculation with PBE was carried out for a geometry-optimized WC2 structure.

The structure in POSCAR format:
```
WC2
1.0
3.533 0.000 0.000
-1.767 3.060 0.000
0.000 0.000 11.274
W C
4 8
Direct
0.333 0.667 0.091
0.333 0.667 0.409
0.667 0.333 0.591
0.667 0.333 0.909
0.000 0.000 0.000
0.000 0.000 0.500
0.140 0.280 0.250
0.140 0.860 0.250
0.280 0.140 0.750
0.720 0.860 0.250
0.860 0.140 0.750
0.860 0.720 0.750
```

Formation energy, eV/atom: 1.293
Symmetry: P6_3/mmc (194)
DFT total energy, eV per cell: -110.086
Energy above the lowest structure with this stoichiometry, meV/atom: 778
Calculated density, g/cm3: 11.326

[2]
A plane-wave DFT calculation with PBE was carried out for a geometry-optimized TiCo3H structure.

The structure in POSCAR format:
```
TiCo3H
1.0
2.524 0.000 0.000
0.000 2.460 5.675
0.000 -2.460 5.675
Ti Co H
1 3 1
Direct
0.000 0.000 0.000
0.000 0.417 0.960
0.000 0.960 0.417
0.500 0.820 0.820
0.500 0.653 0.653
```

Symmetry: Amm2 (38)
DFT total energy, eV per cell: -29.585
Energy above the lowest structure with this stoichiometry, meV/atom: 871
Calculated density, g/cm3: 5.318

[3]
A plane-wave DFT calculation with PBE was carried out for a geometry-optimized YGe2Cl8 structure.

The structure in POSCAR format:
```
YGe2Cl8
1.0
6.070 -4.517 0.000
6.070 4.517 0.000
-2.430 0.000 7.085
Y Ge Cl
1 2 8
Direct
0.000 0.000 0.000
0.135 0.135 0.624
0.865 0.865 0.376
0.109 0.716 0.187
0.187 0.187 0.299
0.284 0.891 0.813
0.324 0.324 0.774
0.676 0.676 0.226
0.716 0.109 0.187
0.813 0.813 0.701
0.891 0.284 0.813
```

Symmetry: C2/m (12)
DFT total energy, eV per cell: -43.849
Calculated density, g/cm3: 2.213

[4]
A plane-wave DFT calculation with PBE was carried out for a geometry-optimized Ta2CoAu2S6 structure.

The structure in POSCAR format:
```
Ta2CoAu2S6
1.0
2.955 -5.250 0.000
2.955 5.250 0.000
-2.019 0.000 7.203
Ta Co Au S
2 1 2 6
Direct
0.135 0.865 0.000
0.865 0.135 0.000
0.500 0.500 0.000
0.348 0.652 0.500
0.652 0.348 0.500
0.099 0.099 0.775
0.252 0.582 0.178
0.418 0.748 0.822
0.582 0.252 0.178
0.748 0.418 0.822
0.901 0.901 0.225
```

Symmetry: C2/m (12)
DFT total energy, eV per cell: -68.133
Calculated density, g/cm3: 7.484

[5]
A plane-wave DFT calculation with PBE was carried out for a geometry-optimized As2IrAu2 structure.

The structure in POSCAR format:
```
As2IrAu2
1.0
6.189 0.000 0.000
0.000 6.189 0.000
0.000 0.000 5.182
As Ir Au
4 2 4
Direct
0.140 0.360 0.000
0.360 0.860 0.000
0.640 0.140 0.000
0.860 0.640 0.000
0.000 0.000 0.000
0.500 0.500 0.000
0.172 0.328 0.500
0.328 0.828 0.500
0.672 0.172 0.500
0.828 0.672 0.500
```

Formation energy, eV/atom: 0.093
Symmetry: P4/mbm (127)
DFT total energy, eV per cell: -48.500
Calculated density, g/cm3: 12.314

[6]
A plane-wave DFT calculation with PBE was carried out for a geometry-optimized SrPm2Ge structure.

The structure in POSCAR format:
```
SrPm2Ge
1.0
2.071 1.195 11.010
-2.071 1.195 11.010
0.000 -2.391 11.010
Sr Pm Ge
1 2 1
Direct
0.000 0.000 0.000
0.117 0.117 0.117
0.883 0.883 0.883
0.500 0.500 0.500
```

Formation energy, eV/atom: -0.184
Symmetry: R-3m (166)
DFT total energy, eV per cell: -16.535
Energy above the lowest structure with this stoichiometry, meV/atom: 103
Calculated density, g/cm3: 4.573

[7]
A plane-wave DFT calculation with PBE was carried out for a geometry-optimized AcLaAl2Ge structure.

The structure in POSCAR format:
```
AcLaAl2Ge
1.0
-2.245 2.394 6.487
2.245 -2.394 6.487
2.245 2.394 -6.487
Ac La Al Ge
1 1 2 1
Direct
0.000 0.000 0.000
0.261 0.761 0.500
0.607 0.607 0.000
0.724 0.224 0.500
0.415 0.415 0.000
```

Formation energy, eV/atom: -0.439
Symmetry: Imm2 (44)
DFT total energy, eV per cell: -23.335
Calculated density, g/cm3: 5.864

[8]
A plane-wave DFT calculation with PBE was carried out for a geometry-optimized SrCdHg2H structure.

The structure in POSCAR format:
```
SrCdHg2H
1.0
5.367 0.000 0.000
0.000 5.367 0.000
0.000 0.000 6.479
Sr Cd Hg H
1 1 2 1
Direct
0.000 0.000 0.000
0.000 0.000 0.500
0.000 0.500 0.500
0.500 0.000 0.500
0.500 0.500 0.000
```

Symmetry: P4/mmm (123)
DFT total energy, eV per cell: -4.890
Energy above the lowest structure with this stoichiometry, meV/atom: 494
Calculated density, g/cm3: 5.359

[9]
A plane-wave DFT calculation with PBE was carried out for a geometry-optimized UTl2Br4 structure.

The structure in POSCAR format:
```
UTl2Br4
1.0
-2.884 2.884 8.294
2.884 -2.884 8.294
2.884 2.884 -8.294
U Tl Br
1 2 4
Direct
0.000 0.000 0.000
0.368 0.368 0.000
0.632 0.632 0.000
0.000 0.500 0.500
0.174 0.174 0.000
0.500 0.000 0.500
0.826 0.826 0.000
```

Symmetry: I4/mmm (139)
DFT total energy, eV per cell: -28.057
Calculated density, g/cm3: 5.816

[10]
A plane-wave DFT calculation with PBE was carried out for a geometry-optimized ZrCdAs structure.

The structure in POSCAR format:
```
ZrCdAs
1.0
4.816 -1.840 0.000
4.816 1.840 0.000
-0.997 0.000 7.342
Zr Cd As
2 2 2
Direct
0.142 0.142 0.136
0.858 0.858 0.864
0.147 0.147 0.570
0.853 0.853 0.430
0.425 0.425 0.155
0.575 0.575 0.845
```

Formation energy, eV/atom: -0.506
Symmetry: C2/m (12)
DFT total energy, eV per cell: -31.259
Energy above the lowest structure with this stoichiometry, meV/atom: 107
Calculated density, g/cm3: 7.109

[11]
A plane-wave DFT calculation with PBE was carried out for a geometry-optimized Pm6DyEr2Sc structure.

The structure in POSCAR format:
```
Pm6DyEr2Sc
1.0
4.608 -7.596 0.000
4.608 7.596 0.000
-1.040 0.000 9.322
Pm Dy Er Sc
12 2 4 2
Direct
0.006 0.441 0.806
0.122 0.767 0.552
0.233 0.878 0.948
0.290 0.513 0.387
0.441 0.006 0.306
0.487 0.710 0.113
0.513 0.290 0.887
0.559 0.994 0.694
0.710 0.487 0.613
0.767 0.122 0.052
0.878 0.233 0.448
0.994 0.559 0.194
0.027 0.973 0.250
0.973 0.027 0.750
0.205 0.304 0.048
0.304 0.205 0.548
0.696 0.795 0.452
0.795 0.696 0.952
0.420 0.580 0.750
0.580 0.420 0.250
```

Formation energy, eV/atom: 0.128
Symmetry: C2/c (15)
DFT total energy, eV per cell: -94.576
Calculated density, g/cm3: 7.186

[12]
A plane-wave DFT calculation with PBE was carried out for a geometry-optimized MgCu4Ni structure.

The structure in POSCAR format:
```
MgCu4Ni
1.0
4.819 0.000 0.000
0.000 6.666 0.000
-1.310 0.000 9.749
Mg Cu Ni
4 16 4
Direct
0.215 0.138 0.127
0.215 0.362 0.627
0.785 0.638 0.373
0.785 0.862 0.873
0.237 0.731 0.744
0.237 0.769 0.244
0.262 0.106 0.841
0.262 0.394 0.341
0.305 0.705 0.494
0.305 0.795 0.994
0.442 0.003 0.620
0.442 0.497 0.120
0.558 0.503 0.880
0.558 0.997 0.380
0.695 0.205 0.006
0.695 0.295 0.506
0.738 0.606 0.659
0.738 0.894 0.159
0.763 0.231 0.756
0.763 0.269 0.256
0.068 0.035 0.392
0.068 0.465 0.892
0.932 0.535 0.108
0.932 0.965 0.608
```

Formation energy, eV/atom: -0.026
Symmetry: P2_1/c (14)
DFT total energy, eV per cell: -95.678
Energy above the lowest structure with this stoichiometry, meV/atom: 0
Calculated density, g/cm3: 7.151

no.,total moment (μB per cell)
1,0.0
2,3.1
3,0.0
4,1.0
5,0.0
6,0.5
7,0.0
8,0.0
9,4.0
10,0.0
11,0.0
12,0.0